Entry 1:
A geometry-optimized ZrTcAsP2 structure. Source: the Alexandria database, functional PBE.

a b c (Å): 4.4377 4.4377 5.2467
angles (deg): 90.00 90.00 90.00
Closest atoms and distances in Å follow each position.
Space group P4/mmm (No. 123)
Symmetry-distinct sites (fractional):
Zr 0.0000 0.0000 0.0000 x1  4 As 3.14, 8 P 3.44
Tc 0.5000 0.5000 0.5000 x1  4 P 2.22
As 0.5000 0.5000 0.0000 x1  2 Tc 2.62
P 0.0000 0.5000 0.5000 x2  2 Tc 2.22

Results
As for the electronic total energy: -32.62 eV per cell. The value obtained for the energy of formation is 0.3525 eV/atom.


Entry 2:
A geometry-optimized TeAsP structure. Source: the Alexandria database, functional PBE.

a b c (Å): 6.5587 6.5587 6.5587
angles (deg): 90.00 90.00 90.00
Closest atoms and distances in Å follow each position.
Space group F-43m (No. 216)
Symmetry-distinct sites (fractional):
Te 0.0000 0.0000 0.0000 x4  4 P 2.84
As 0.0000 0.0000 0.5000 x4  4 P 2.84
P 0.2500 0.2500 0.7500 x4  4 As 2.84, 4 Te 2.84

Results
As for the formation energy without anion corrections: 1.77 eV per formula unit. As for the electronic total energy: -45.74 eV per cell. The energy above the most stable polymorph in this dataset is 46.6 kJ per mole of atoms.


Entry 3:
A geometry-optimized TeAs2P structure. Source: the Alexandria database, functional PBE.

a b c (Å): 3.8618 3.8618 20.1856
angles (deg): 90.00 90.00 120.00
Closest atoms and distances in Å follow each position.
Space group R-3m (No. 166, hexagonal axes)
Symmetry-distinct sites (fractional):
Te 0.0000 0.0000 0.0000 x3  6 As 2.95
As 0.0000 0.0000 0.2374 x6  3 P 2.65, 3 Te 2.95
P 0.0000 0.0000 0.5000 x3  6 As 2.65

Results
As for the formation energy without anion corrections: 0.69 eV per formula unit. As for the electronic total energy: -51.49 eV per cell. The energy above the most stable polymorph in this dataset is 0.6 kJ per mole of atoms.


Entry 4:
A geometry-optimized TeAsP2 structure. Source: the Alexandria database, functional PBE.

a b c (Å): 3.3933 3.3933 8.7567
angles (deg): 90.00 90.00 90.00
Closest atoms and distances in Å follow each position.
Space group P4/mmm (No. 123)
Symmetry-distinct sites (fractional):
Te 0.0000 0.0000 0.0000 x1  4 Te 3.39
As 0.0000 0.0000 0.5000 x1  8 P 2.64
P 0.5000 0.5000 0.3744 x2  1 P 2.20

Results
As for the formation energy without anion corrections: 2.03 eV per formula unit. As for the electronic total energy: -16.58 eV per cell. The energy above the most stable polymorph in this dataset is 29.5 kJ per mole of atoms.


Entry 5:
A geometry-optimized TeAs2P2 structure. Source: the Alexandria database, functional PBE.

a b c (Å): 4.8130 4.8130 8.9480
angles (deg): 90.00 90.00 90.00
Closest atoms and distances in Å follow each position.
Space group I4/mmm (No. 139)
Symmetry-distinct sites (fractional):
Te 0.0000 0.0000 0.0000 x2  2 As 3.10, 8 P 3.29
As 0.0000 0.0000 0.3464 x4  4 P 2.56, 1 As 2.75
P 0.0000 0.5000 0.2500 x4  4 As 2.56

Results
As for the formation energy without anion corrections: 1.85 eV per formula unit. As for the electronic total energy: -42.82 eV per cell.


Entry 6:
A geometry-optimized TeAs2P structure. Source: the Alexandria database, functional PBE.

a b c (Å): 3.8274 3.8274 12.2200
angles (deg): 90.00 90.00 90.00
Closest atoms and distances in Å follow each position.
Space group I4/mmm (No. 139)
Symmetry-distinct sites (fractional):
Te 0.0000 0.0000 0.0000 x2  4 P 2.71
As 0.0000 0.5000 0.2500 x4  4 As 2.71
P 0.0000 0.0000 0.5000 x2  4 Te 2.71

Results
As for the formation energy without anion corrections: 2.37 eV per formula unit. As for the electronic total energy: -30.96 eV per cell. The energy above the most stable polymorph in this dataset is 41.3 kJ per mole of atoms.


Entry 7:
A geometry-optimized TeAsP2 structure. Source: the Alexandria database, functional PBE.

a b c (Å): 11.4524 3.5295 4.6266
angles (deg): 90.00 96.43 90.00
Closest atoms and distances in Å follow each position.
Space group Cm (No. 8)
Symmetry-distinct sites (fractional):
Te 0.0000 0.0000 0.0000 x2  2 P 2.70, 1 As 2.80
As 0.2634 0.5000 0.7649 x2  2 P 2.40
P 0.2896 0.0000 0.4272 x2  1 P 2.24, 2 As 2.40
P 0.4858 0.0000 0.4373 x2  1 P 2.24

Results
As for the formation energy without anion corrections: 0.80 eV per formula unit. As for the electronic total energy: -35.61 eV per cell. The energy above the most stable polymorph in this dataset is 0.0 kJ per mole of atoms.


Entry 8:
A geometry-optimized TeAs2P structure. Source: the Alexandria database, functional PBE.

a b c (Å): 6.8744 6.8744 6.8744
angles (deg): 90.00 90.00 90.00
Closest atoms and distances in Å follow each position.
Space group Fm-3m (No. 225)
Symmetry-distinct sites (fractional):
Te 0.0000 0.0000 0.0000 x4  8 As 2.98
As 0.2500 0.2500 0.2500 x8  4 Te 2.98, 4 P 2.98
P 0.0000 0.0000 0.5000 x4  8 As 2.98

Results
As for the formation energy without anion corrections: 2.36 eV per formula unit. As for the electronic total energy: -61.95 eV per cell. The energy above the most stable polymorph in this dataset is 41.0 kJ per mole of atoms.


Entry 9:
A geometry-optimized TeAsP2 structure. Source: the Alexandria database, functional PBE.

a b c (Å): 6.7580 6.7580 6.7580
angles (deg): 90.00 90.00 90.00
Closest atoms and distances in Å follow each position.
Space group F-43m (No. 216)
Symmetry-distinct sites (fractional):
Te 0.0000 0.0000 0.0000 x4  4 As 2.93, 4 P 2.93
As 0.2500 0.2500 0.7500 x4  4 Te 2.93, 4 P 2.93
P 0.0000 0.0000 0.5000 x4  4 As 2.93, 4 P 2.93
P 0.2500 0.2500 0.2500 x4  4 Te 2.93, 4 P 2.93

Results
As for the formation energy without anion corrections: 2.73 eV per formula unit. As for the electronic total energy: -63.53 eV per cell. The energy above the most stable polymorph in this dataset is 46.4 kJ per mole of atoms.


Entry 10:
A geometry-optimized TeAsP structure. Source: the Alexandria database, functional PBE.

a b c (Å): 5.9136 3.3122 10.4518
angles (deg): 90.00 93.08 90.00
Closest atoms and distances in Å follow each position.
Space group Pm (No. 6)
Symmetry-distinct sites (fractional):
Te 0.0000 0.0000 0.0000 x1  1 Te 2.81
Te 0.4411 0.0000 0.9118 x1  1 Te 2.81
As 0.2724 0.5000 0.3772 x1  2 P 2.36, 1 As 2.51
As 0.6264 0.5000 0.5203 x1  2 P 2.36, 1 As 2.51
P 0.1131 0.0000 0.5055 x1  1 P 2.23, 2 As 2.36
P 0.7832 0.0000 0.3911 x1  1 P 2.23, 2 As 2.36

Results
As for the formation energy without anion corrections: 0.33 eV per formula unit. As for the electronic total energy: -25.73 eV per cell. The energy above the most stable polymorph in this dataset is 0.6 kJ per mole of atoms.


Entry 11:
A geometry-optimized TeAs2P structure. Source: the Alexandria database, functional PBE.

a b c (Å): 3.8869 3.8869 20.0232
angles (deg): 90.00 90.00 120.00
Closest atoms and distances in Å follow each position.
Space group R3m (No. 160, hexagonal axes)
Symmetry-distinct sites (fractional):
Te 0.0000 0.0000 0.0000 x3  3 P 2.80, 3 As 3.01
As 0.0000 0.0000 0.5078 x3  3 As 2.69, 3 P 2.70
As 0.0000 0.0000 0.7668 x3  3 As 2.69, 3 Te 3.01
P 0.0000 0.0000 0.2496 x3  3 As 2.70, 3 Te 2.80

Results
As for the formation energy without anion corrections: 0.77 eV per formula unit. As for the electronic total energy: -51.23 eV per cell. The energy above the most stable polymorph in this dataset is 2.7 kJ per mole of atoms.


Entry 12:
A geometry-optimized Te2As2P structure. Source: the Alexandria database, functional PBE.

a b c (Å): 7.9324 7.9324 3.9050
angles (deg): 90.00 90.00 90.00
Closest atoms and distances in Å follow each position.
Space group P4/mbm (No. 127)
Symmetry-distinct sites (fractional):
Te 0.2023 0.2977 0.0000 x4  2 As 2.74, 2 P 2.86
As 0.1261 0.6261 0.5000 x4  2 Te 2.74, 1 As 2.83
P 0.0000 0.0000 0.0000 x2  4 Te 2.86

Results
As for the formation energy without anion corrections: 2.64 eV per formula unit. As for the electronic total energy: -36.71 eV per cell. The energy above the most stable polymorph in this dataset is 4.4 kJ per mole of atoms.